Entry 1:
A relaxed TaIrRh crystal, computed with PBE.

The structure in CIF format:
```
data_TaIrRh
_cell_length_a 4.4194
_cell_length_b 4.4194
_cell_length_c 2.7819
_cell_angle_alpha 90.00
_cell_angle_beta 90.00
_cell_angle_gamma 120.00
_symmetry_space_group_name_H-M 'P -6 m 2'
_symmetry_Int_Tables_number 187
_symmetry_space_group_name_Hall 'P -6 2'
loop_
_atom_site_label
_atom_site_type_symbol
_atom_site_fract_x
_atom_site_fract_y
_atom_site_fract_z
Ta1 Ta 0.0000 0.0000 0.0000
Ir1 Ir 0.6667 0.3333 0.5000
Rh1 Rh 0.3333 0.6667 0.0000
```

Calculated values
- ΔH_f (0 K): -0.34 eV per atom
- Energy above the lowest structure with this stoichiometry: 204 meV per atom
- Total magnetization: 0.00 μB/f.u.

Entry 2:
A relaxed Ta2IrRh crystal, computed with PBE.

The structure in CIF format:
```
data_Ta2IrRh
_cell_length_a 3.918
_cell_length_b 3.918
_cell_length_c 8.415
_cell_angle_alpha 90.00
_cell_angle_beta 90.00
_cell_angle_gamma 90.00
_symmetry_space_group_name_H-M 'I -4 m 2'
_symmetry_Int_Tables_number 119
_symmetry_space_group_name_Hall 'I -4 -2'
loop_
_atom_site_label
_atom_site_type_symbol
_atom_site_fract_x
_atom_site_fract_y
_atom_site_fract_z
Ta1 Ta 0.000 0.000 0.000
Ta2 Ta 0.000 0.500 0.250
Ir1 Ir 0.000 0.000 0.500
Rh1 Rh 0.000 0.500 0.750
```

Calculated values
- ΔH_f (0 K): -0.46 eV per atom
- Total magnetization: 0.00 μB/f.u.

Entry 3:
A relaxed TaIrRh crystal, computed with PBE.

The structure in CIF format:
```
data_TaIrRh
_cell_length_a 6.070
_cell_length_b 6.070
_cell_length_c 6.070
_cell_angle_alpha 90.00
_cell_angle_beta 90.00
_cell_angle_gamma 90.00
_symmetry_space_group_name_H-M 'F -4 3 m'
_symmetry_Int_Tables_number 216
_symmetry_space_group_name_Hall 'F -4 2 3'
loop_
_atom_site_label
_atom_site_type_symbol
_atom_site_fract_x
_atom_site_fract_y
_atom_site_fract_z
Ta1 Ta 0.000 0.000 0.000
Ir1 Ir 0.250 0.250 0.250
Rh1 Rh 0.000 0.000 0.500
```

Calculated values
- ΔH_f (0 K): 0.12 eV per atom
- Energy above the lowest structure with this stoichiometry: 666 meV per atom
- Total magnetization: 0.01 μB/f.u.

Entry 4:
A relaxed Ta5IrRh4 crystal, computed with PBE.

The structure in CIF format:
```
data_Ta5IrRh4
_cell_length_a 2.889
_cell_length_b 2.889
_cell_length_c 19.166
_cell_angle_alpha 90.00
_cell_angle_beta 90.00
_cell_angle_gamma 90.00
_symmetry_space_group_name_H-M 'P 4/m m m'
_symmetry_Int_Tables_number 123
_symmetry_space_group_name_Hall '-P 4 2'
loop_
_atom_site_label
_atom_site_type_symbol
_atom_site_fract_x
_atom_site_fract_y
_atom_site_fract_z
Ta1 Ta 0.000 0.000 0.000
Ta2 Ta 0.000 0.000 0.200
Ta3 Ta 0.000 0.000 0.400
Ir1 Ir 0.500 0.500 0.500
Rh1 Rh 0.500 0.500 0.100
Rh2 Rh 0.500 0.500 0.299
```

Calculated values
- ΔH_f (0 K): -0.49 eV per atom
- Total magnetization: 0.00 μB/f.u.

Entry 5:
A relaxed TaIrRh crystal, computed with PBE.

The structure in CIF format:
```
data_TaIrRh
_cell_length_a 6.020
_cell_length_b 6.020
_cell_length_c 6.020
_cell_angle_alpha 90.00
_cell_angle_beta 90.00
_cell_angle_gamma 90.00
_symmetry_space_group_name_H-M 'F -4 3 m'
_symmetry_Int_Tables_number 216
_symmetry_space_group_name_Hall 'F -4 2 3'
loop_
_atom_site_label
_atom_site_type_symbol
_atom_site_fract_x
_atom_site_fract_y
_atom_site_fract_z
Ta1 Ta 0.000 0.000 0.000
Ir1 Ir 0.250 0.250 0.250
Rh1 Rh 0.250 0.250 0.750
```

Calculated values
- ΔH_f (0 K): -0.23 eV per atom
- Energy above the lowest structure with this stoichiometry: 313 meV per atom
- Total magnetization: 0.00 μB/f.u.

Entry 6:
A relaxed Ta5Ir4Rh crystal, computed with PBE.

The structure in CIF format:
```
data_Ta5Ir4Rh
_cell_length_a 2.893
_cell_length_b 2.893
_cell_length_c 19.250
_cell_angle_alpha 90.00
_cell_angle_beta 90.00
_cell_angle_gamma 90.00
_symmetry_space_group_name_H-M 'P 4/m m m'
_symmetry_Int_Tables_number 123
_symmetry_space_group_name_Hall '-P 4 2'
loop_
_atom_site_label
_atom_site_type_symbol
_atom_site_fract_x
_atom_site_fract_y
_atom_site_fract_z
Ta1 Ta 0.000 0.000 0.000
Ta2 Ta 0.000 0.000 0.201
Ta3 Ta 0.000 0.000 0.400
Ir1 Ir 0.500 0.500 0.100
Ir2 Ir 0.500 0.500 0.301
Rh1 Rh 0.500 0.500 0.500
```

Calculated values
- ΔH_f (0 K): -0.56 eV per atom
- Total magnetization: 0.00 μB/f.u.